The following is a PBE calculation of a geometry-optimized PmGaRhO6 structure, from the Alexandria database.

Properties
Density ... 5.840 g cm⁻³
DOS(E_F) ... 7.25 states/eV/cell
Calculated total energy ... -6.601 eV per atom

abc: 5.1889 5.1889 10.0881
angles: 90.00 90.00 120.00
Closest atoms and distances in Å follow each position.
Space group P-31c (No. 163)
Unique sites:
Pm: 0.0000 0.0000 0.0000 [2 per cell]  6 O 2.38
Ga: 0.3333 0.6667 0.2500 [2 per cell]  6 O 2.00
Rh: 0.3333 0.6667 0.7500 [2 per cell]  6 O 1.96
O: 0.0057 0.3687 0.6421 [12 per cell]  1 Rh 1.96, 1 Ga 2.00



The following is a PBE calculation of a geometry-optimized Pm2GaRhO6 structure, from the Alexandria database.

Properties
Density ... 7.648 g cm⁻³
Calculated total energy ... -7.331 eV per atom

abc: 5.4415 5.7357 9.4247
angles: 90.00 124.45 90.00
Closest atoms and distances in Å follow each position.
Space group P2_1/c (No. 14)
Unique sites:
Pm: 0.2306 0.0681 0.2500 [4 per cell]  6 O 2.33-2.56
Ga: 0.5000 0.0000 0.0000 [2 per cell]  6 O 1.99-2.03
Rh: 0.0000 0.0000 0.5000 [2 per cell]  6 O 2.08-2.10
O: 0.1470 0.1939 0.9482 [4 per cell]  1 Ga 2.03, 1 Rh 2.10
O: 0.2555 0.7059 0.9456 [4 per cell]  1 Ga 2.03, 1 Rh 2.10
O: 0.3602 0.0317 0.7553 [4 per cell]  1 Ga 1.99, 1 Rh 2.08



The following is a PBE calculation of a geometry-optimized PmGaRhO4 structure, from the Alexandria database.

Properties
Density ... 6.785 g cm⁻³
DOS(E_F) ... 5.91 states/eV/cell
Calculated total energy ... -6.791 eV per atom

abc: 6.3646 6.7707 8.6699
angles: 90.00 90.00 90.00
Closest atoms and distances in Å follow each position.
Space group Imma (No. 74)
Unique sites:
Pm: 0.0000 0.0000 0.0000 [4 per cell]  6 O 2.34-2.35
Ga: 0.0000 0.2500 0.3864 [4 per cell]  4 O 1.88-1.92
Rh: 0.2500 0.2500 0.7500 [4 per cell]  2 O 2.11
O: 0.0000 0.0090 0.2707 [8 per cell]  1 Ga 1.92
O: 0.2459 0.2500 0.5069 [8 per cell]  1 Ga 1.88



The following is a PBE calculation of a geometry-optimized PmGaSbO6 structure, from the Alexandria database.

Properties
Density ... 5.908 g cm⁻³
DOS(E_F) ... 12.94 states/eV/cell
Calculated total energy ... -6.586 eV per atom

abc: 5.2701 5.2701 10.1080
angles: 90.00 90.00 120.00
Closest atoms and distances in Å follow each position.
Space group P-31c (No. 163)
Unique sites:
Pm: 0.0000 0.0000 0.0000 [2 per cell]  6 O 2.39
Ga: 0.3333 0.6667 0.2500 [2 per cell]  6 O 2.01
Sb: 0.3333 0.6667 0.7500 [2 per cell]  6 O 2.01
O: 0.0007 0.3631 0.6413 [12 per cell]  1 Sb 2.01, 1 Ga 2.01



The following is a PBE calculation of a geometry-optimized PmGaSb2O8 structure, from the Alexandria database.

Properties
Density ... 6.282 g cm⁻³
Calculated total energy ... -6.491 eV per atom

abc: 6.6762 7.1715 6.4728
angles: 90.00 90.00 90.00
Closest atoms and distances in Å follow each position.
Space group Cmmm (No. 65)
Unique sites:
Pm: 0.0000 0.0000 0.0000 [2 per cell]  6 O 2.26-2.35
Ga: 0.0000 0.0000 0.5000 [2 per cell]  6 O 1.98-2.21
Sb: 0.0000 0.5000 0.2618 [4 per cell]  6 O 1.97-2.10
O: 0.0000 0.3083 0.5000 [4 per cell]  2 Sb 2.07, 1 Ga 2.21
O: 0.0000 0.3281 0.0000 [4 per cell]  2 Sb 2.10
O: 0.2047 0.0000 0.2787 [8 per cell]  1 Sb 1.97, 1 Ga 1.98



The following is a PBE calculation of a geometry-optimized Pm2Sc2Ga2O structure, from the Alexandria database.

Properties
Density ... 5.931 g cm⁻³
DOS(E_F) ... 6.39 states/eV/cell
Calculated total energy ... -6.047 eV per atom

abc: 4.3649 4.3649 15.7350
angles: 90.00 90.00 90.00
Closest atoms and distances in Å follow each position.
Space group I4/mmm (No. 139)
Unique sites:
Pm: 0.0000 0.0000 0.1698 [4 per cell]  1 O 2.67
Sc: 0.0000 0.5000 0.0000 [4 per cell]  2 O 2.18
Ga: 0.0000 0.0000 0.3734 [4 per cell]  4 Sc 2.96, 5 Pm 3.16-3.20
O: 0.0000 0.0000 0.0000 [2 per cell]  4 Sc 2.18



The following is a PBE calculation of a geometry-optimized PmSm2GaO structure, from the Alexandria database.

Properties
Density ... 7.761 g cm⁻³
DOS(E_F) ... 1.38 states/eV/cell
Calculated total energy ... -5.824 eV per atom

abc: 4.8325 4.8325 4.8692
angles: 90.00 90.00 90.00
Closest atoms and distances in Å follow each position.
Space group P4/mmm (No. 123)
Unique sites:
Pm: 0.0000 0.0000 0.0000 [1 per cell]  2 O 2.43
Sm: 0.0000 0.5000 0.5000 [2 per cell]  2 O 2.42
Ga: 0.5000 0.5000 0.0000 [1 per cell]  4 Pm 3.42, 8 Sm 3.43
O: 0.0000 0.0000 0.5000 [1 per cell]  4 Sm 2.42, 2 Pm 2.43



The following is a PBE calculation of a geometry-optimized SrPmGaO4 structure, from the Alexandria database.

Properties
Density ... 5.443 g cm⁻³
DOS(E_F) ... 0.00 states/eV/cell
Calculated total energy ... -6.827 eV per atom

abc: 5.7899 5.8698 6.9209
angles: 90.00 108.15 90.00
Closest atoms and distances in Å follow each position.
Space group P2_1/m (No. 11)
Unique sites:
Sr: 0.2143 0.2500 0.4326 [2 per cell]  2 O 2.41-2.43
Pm: 0.3051 0.2500 0.9605 [2 per cell]  6 O 2.35-2.51
Ga: 0.2397 0.7500 0.1848 [2 per cell]  4 O 1.85-1.88
O: 0.0340 0.7500 0.9183 [2 per cell]  1 Ga 1.86
O: 0.0353 0.7500 0.3431 [2 per cell]  1 Ga 1.85
O: 0.4690 0.5136 0.2227 [4 per cell]  1 Ga 1.88